# OsRh2Se (SCAN, PBEsol geometry)
data_OsRh2Se
_cell_length_a 6.112
_cell_length_b 6.112
_cell_length_c 6.112
_cell_angle_alpha 90.00
_cell_angle_beta 90.00
_cell_angle_gamma 90.00
_symmetry_space_group_name_H-M 'F -4 3 m'
_symmetry_Int_Tables_number 216
_symmetry_space_group_name_Hall 'F -4 2 3'
loop_
_atom_site_label
_atom_site_fract_x
_atom_site_fract_y
_atom_site_fract_z
Os1 0.000 0.000 0.000
Rh1 0.000 0.000 0.500
Rh2 0.250 0.250 0.250
Se1 0.250 0.250 0.750
# Crystal system: cubic
# DFT total energy in eV per formula unit: -157.459
# Formation energy from raw total energies in eV/atom: 0.511